No. 1
# KCaCdIn (PBE, relaxed)
# N(E_F), states/eV/cell: 12.27
# E, eV/atom: -1.78
# ΔE_f, eV/atom: -0.09
# Total magnetic moment, Bohr magnetons per cell: 0.00
data_KCaCdIn
_chemical_formula_sum 'K4 Ca4 Cd4 In4'
_cell_length_a 8.026
_cell_length_b 8.026
_cell_length_c 8.026
_cell_angle_alpha 90.00
_cell_angle_beta 90.00
_cell_angle_gamma 90.00
_symmetry_space_group_name_H-M 'F -4 3 m'
_symmetry_Int_Tables_number 216
_symmetry_space_group_name_Hall 'F -4 2 3'
loop_
_atom_site_label
_atom_site_type_symbol
_atom_site_fract_x
_atom_site_fract_y
_atom_site_fract_z
K1 K 0.000 0.000 0.000
Ca1 Ca 0.000 0.000 0.500
Cd1 Cd 0.250 0.250 0.250
In1 In 0.250 0.250 0.750

No. 2
# Ba2InN (PBE, relaxed)
# N(E_F), states/eV/cell: 4.34
# E, eV/atom: -3.96
# Raw formation energy, eV per formula unit: -0.94
# Total magnetic moment, Bohr magnetons per cell: 0.00
data_Ba2InN
_chemical_formula_sum 'Ba6 In3 N3'
_cell_length_a 3.9280
_cell_length_b 3.9280
_cell_length_c 31.1266
_cell_angle_alpha 90.00
_cell_angle_beta 90.00
_cell_angle_gamma 120.00
_symmetry_space_group_name_H-M 'R -3 m'
_symmetry_Int_Tables_number 166
_symmetry_space_group_name_Hall '-R 3 2"'
loop_
_atom_site_label
_atom_site_type_symbol
_atom_site_fract_x
_atom_site_fract_y
_atom_site_fract_z
Ba1 Ba 0.0000 0.0000 0.1176
In1 In 0.0000 0.0000 0.0000
N1 N 0.0000 0.0000 0.5000

No. 3
# SnBi2Pb6 (PBE, relaxed)
# N(E_F), states/eV/cell: 10.86
# E, eV/atom: -3.73
# ΔE_f, eV/atom: 0.05
# Total magnetic moment, Bohr magnetons per cell: 0.00
# Offset from the most stable computed form, meV per atom: 0
data_SnBi2Pb6
_chemical_formula_sum 'Sn2 Bi4 Pb12'
_cell_length_a 15.978
_cell_length_b 5.991
_cell_length_c 6.020
_cell_angle_alpha 90.00
_cell_angle_beta 102.34
_cell_angle_gamma 90.00
_symmetry_space_group_name_H-M 'C 1 2/m 1'
_symmetry_Int_Tables_number 12
loop_
_symmetry_equiv_pos_as_xyz
'x,y,z'
'-x,-y,-z'
'-x,y,-z'
'x,-y,z'
'x+1/2,y+1/2,z'
'-x+1/2,-y+1/2,-z'
'-x+1/2,y+1/2,-z'
'x+1/2,-y+1/2,z'
loop_
_atom_site_label
_atom_site_type_symbol
_atom_site_fract_x
_atom_site_fract_y
_atom_site_fract_z
Sn1 Sn 0.000 0.000 0.000
Bi1 Bi 0.056 0.500 0.780
Pb1 Pb 0.109 0.000 0.555
Pb2 Pb 0.168 0.500 0.331
Pb3 Pb 0.220 0.000 0.111

No. 4
# DyScNi2P2 (PBE, relaxed)
# N(E_F), states/eV/cell: 2.90
# E, eV/atom: -6.74
# ΔE_f, eV/atom: -1.18
# Total magnetic moment, Bohr magnetons per cell: 0.00
data_DyScNi2P2
_chemical_formula_sum 'Dy1 Sc1 Ni2 P2'
_cell_length_a 3.8463
_cell_length_b 3.8463
_cell_length_c 7.4473
_cell_angle_alpha 90.00
_cell_angle_beta 90.00
_cell_angle_gamma 120.00
_symmetry_space_group_name_H-M 'P -3 m 1'
_symmetry_Int_Tables_number 164
_symmetry_space_group_name_Hall '-P 3 2"'
loop_
_atom_site_label
_atom_site_type_symbol
_atom_site_fract_x
_atom_site_fract_y
_atom_site_fract_z
Dy1 Dy 0.0000 0.0000 0.0000
Sc1 Sc 0.0000 0.0000 0.5000
Ni1 Ni 0.3333 0.6667 0.7341
P1 P 0.3333 0.6667 0.2614

No. 5
# LaTbHo6 (PBE, relaxed)
# N(E_F), states/eV/cell: 11.68
# E, eV/atom: -4.60
# ΔE_f, eV/atom: 0.03
# Total magnetic moment, Bohr magnetons per cell: 0.00
# Offset from the most stable computed form, meV per atom: 0
data_LaTbHo6
_chemical_formula_sum 'La1 Tb1 Ho6'
_cell_length_a 5.034
_cell_length_b 5.034
_cell_length_c 10.068
_cell_angle_alpha 90.00
_cell_angle_beta 90.00
_cell_angle_gamma 90.00
_symmetry_space_group_name_H-M 'P 4/m m m'
_symmetry_Int_Tables_number 123
_symmetry_space_group_name_Hall '-P 4 2'
loop_
_atom_site_label
_atom_site_type_symbol
_atom_site_fract_x
_atom_site_fract_y
_atom_site_fract_z
La1 La 0.000 0.000 0.000
Tb1 Tb 0.000 0.000 0.500
Ho1 Ho 0.000 0.500 0.254
Ho2 Ho 0.500 0.500 0.000
Ho3 Ho 0.500 0.500 0.500

No. 6
# Ca2SiP (PBE, relaxed)
# N(E_F), states/eV/cell: 4.07
# E, eV/atom: -3.97
# Raw formation energy, eV per formula unit: -1.05
# Total magnetic moment, Bohr magnetons per cell: 0.00
# Offset from the most stable computed form, meV per atom: 290
data_Ca2SiP
_chemical_formula_sum 'Ca4 Si2 P2'
_cell_length_a 4.758
_cell_length_b 5.058
_cell_length_c 8.091
_cell_angle_alpha 90.00
_cell_angle_beta 90.00
_cell_angle_gamma 90.00
_symmetry_space_group_name_H-M 'C m m 2'
_symmetry_Int_Tables_number 35
loop_
_symmetry_equiv_pos_as_xyz
'x,y,z'
'-x,-y,z'
'-x,y,z'
'x,-y,z'
'x+1/2,y+1/2,z'
'-x+1/2,-y+1/2,z'
'-x+1/2,y+1/2,z'
'x+1/2,-y+1/2,z'
loop_
_atom_site_label
_atom_site_type_symbol
_atom_site_fract_x
_atom_site_fract_y
_atom_site_fract_z
Ca1 Ca 0.000 0.000 0.000
Ca2 Ca 0.000 0.500 0.391
Si1 Si 0.000 0.000 0.648
P1 P 0.000 0.500 0.746

No. 7
# KTl2 (PBE, relaxed)
# N(E_F), states/eV/cell: 1.77
# E, eV/atom: -1.94
# ΔE_f, eV/atom: 0.00
# Total magnetic moment, Bohr magnetons per cell: 0.00
# Offset from the most stable computed form, meV per atom: 119
data_KTl2
_chemical_formula_sum 'K1 Tl2'
_cell_length_a 3.7930
_cell_length_b 3.7930
_cell_length_c 8.3412
_cell_angle_alpha 90.00
_cell_angle_beta 90.00
_cell_angle_gamma 120.00
_symmetry_space_group_name_H-M 'P -3 m 1'
_symmetry_Int_Tables_number 164
_symmetry_space_group_name_Hall '-P 3 2"'
loop_
_atom_site_label
_atom_site_type_symbol
_atom_site_fract_x
_atom_site_fract_y
_atom_site_fract_z
K1 K 0.0000 0.0000 0.0000
Tl1 Tl 0.3333 0.6667 0.3483

No. 8
# Dy6Ge3PS2 (PBE, relaxed)
# N(E_F), states/eV/cell: 10.25
# E, eV/atom: -5.95
# Raw formation energy, eV per formula unit: -16.30
# Total magnetic moment, Bohr magnetons per cell: 0.00
data_Dy6Ge3PS2
_chemical_formula_sum 'Dy12 Ge6 P2 S4'
_cell_length_a 17.806
_cell_length_b 4.018
_cell_length_c 8.173
_cell_angle_alpha 90.00
_cell_angle_beta 105.47
_cell_angle_gamma 90.00
_symmetry_space_group_name_H-M 'C 1 2/m 1'
_symmetry_Int_Tables_number 12
loop_
_symmetry_equiv_pos_as_xyz
'x,y,z'
'-x,-y,-z'
'-x,y,-z'
'x,-y,z'
'x+1/2,y+1/2,z'
'-x+1/2,-y+1/2,-z'
'-x+1/2,y+1/2,-z'
'x+1/2,-y+1/2,z'
loop_
_atom_site_label
_atom_site_type_symbol
_atom_site_fract_x
_atom_site_fract_y
_atom_site_fract_z
Dy1 Dy 0.002 0.000 0.243
Dy2 Dy 0.164 0.500 0.084
Dy3 Dy 0.168 0.500 0.582
Ge1 Ge 0.000 0.500 0.500
Ge2 Ge 0.168 0.000 0.832
P1 P 0.000 0.500 0.000
S1 S 0.167 0.000 0.335

No. 9
# BaSc2FePt (PBE, relaxed)
# N(E_F), states/eV/cell: 7.98
# E, eV/atom: -3.83
# ΔE_f, eV/atom: 1.99
# Total magnetic moment, Bohr magnetons per cell: 0.32
data_BaSc2FePt
_chemical_formula_sum 'Ba1 Sc2 Fe1 Pt1'
_cell_length_a 5.239
_cell_length_b 5.239
_cell_length_c 5.133
_cell_angle_alpha 90.00
_cell_angle_beta 90.00
_cell_angle_gamma 90.00
_symmetry_space_group_name_H-M 'P 4/m m m'
_symmetry_Int_Tables_number 123
_symmetry_space_group_name_Hall '-P 4 2'
loop_
_atom_site_label
_atom_site_type_symbol
_atom_site_fract_x
_atom_site_fract_y
_atom_site_fract_z
Ba1 Ba 0.000 0.000 0.000
Sc1 Sc 0.000 0.500 0.000
Fe1 Fe 0.500 0.500 0.500
Pt1 Pt 0.000 0.000 0.500

No. 10
# MgReRh (PBE, relaxed)
# N(E_F), states/eV/cell: 4.46
# E, eV/atom: -7.03
# ΔE_f, eV/atom: 0.10
# Total magnetic moment, Bohr magnetons per cell: 0.00
# Offset from the most stable computed form, meV per atom: 243
data_MgReRh
_chemical_formula_sum 'Mg2 Re2 Rh2'
_cell_length_a 2.775
_cell_length_b 3.878
_cell_length_c 8.483
_cell_angle_alpha 90.00
_cell_angle_beta 90.00
_cell_angle_gamma 90.00
_symmetry_space_group_name_H-M 'I m m 2'
_symmetry_Int_Tables_number 44
loop_
_symmetry_equiv_pos_as_xyz
'x,y,z'
'-x,-y,z'
'-x,y,z'
'x,-y,z'
'x+1/2,y+1/2,z+1/2'
'-x+1/2,-y+1/2,z+1/2'
'-x+1/2,y+1/2,z+1/2'
'x+1/2,-y+1/2,z+1/2'
loop_
_atom_site_label
_atom_site_type_symbol
_atom_site_fract_x
_atom_site_fract_y
_atom_site_fract_z
Mg1 Mg 0.000 0.000 0.000
Re1 Re 0.000 0.000 0.321
Rh1 Rh 0.000 0.000 0.673

No. 11
# KV3As (PBE, relaxed)
# N(E_F), states/eV/cell: 6.33
# E, eV/atom: -4.21
# ΔE_f, eV/atom: 2.41
# Total magnetic moment, Bohr magnetons per cell: 0.00
# Offset from the most stable computed form, meV per atom: 1484
data_KV3As
_chemical_formula_sum 'K1 V3 As1'
_cell_length_a 4.325
_cell_length_b 4.325
_cell_length_c 4.325
_cell_angle_alpha 90.00
_cell_angle_beta 90.00
_cell_angle_gamma 90.00
_symmetry_space_group_name_H-M 'P m -3 m'
_symmetry_Int_Tables_number 221
_symmetry_space_group_name_Hall '-P 4 2 3'
loop_
_atom_site_label
_atom_site_type_symbol
_atom_site_fract_x
_atom_site_fract_y
_atom_site_fract_z
K1 K 0.000 0.000 0.000
V1 V 0.000 0.000 0.500
As1 As 0.500 0.500 0.500

No. 12
# Tb5Zn2Pd (PBE, relaxed)
# N(E_F), states/eV/cell: 36.84
# E, eV/atom: -4.22
# ΔE_f, eV/atom: -0.36
# Total magnetic moment, Bohr magnetons per cell: 0.00
data_Tb5Zn2Pd
_chemical_formula_sum 'Tb20 Zn8 Pd4'
_cell_length_a 7.241
_cell_length_b 7.241
_cell_length_c 15.529
_cell_angle_alpha 90.00
_cell_angle_beta 90.00
_cell_angle_gamma 90.00
_symmetry_space_group_name_H-M 'I 4/m c m'
_symmetry_Int_Tables_number 140
_symmetry_space_group_name_Hall '-I 4 2c'
loop_
_atom_site_label
_atom_site_type_symbol
_atom_site_fract_x
_atom_site_fract_y
_atom_site_fract_z
Tb1 Tb 0.000 0.000 0.000
Tb2 Tb 0.171 0.329 0.152
Zn1 Zn 0.121 0.379 0.500
Pd1 Pd 0.000 0.000 0.250